1.
Here is a crystal of HoGa3 relaxed with PBEsol from the Alexandria database. Energies are from meta-GGA SCAN.

As for the total energy: -25.116 eV/atom. The calculation puts the density of states at the Fermi level at 8.768 states/eV per cell. For the formation energy, the calculation gives -608.7 meV/atom.

abc: 6.0172 6.0172 13.9309
angles: 90.00 90.00 120.00
Space group P6_3/mmc (No. 194)
Symmetry-distinct sites (fractional):
Ho (0.0000, 0.0000, 0.2500) (multiplicity 2)
Ho (0.3333, 0.6667, 0.0919) (multiplicity 4)
Ga (0.0416, 0.5208, 0.7500) (multiplicity 6)
Ga (0.1680, 0.3360, 0.5817) (multiplicity 12)

2.
Here is a crystal of HoGa2 relaxed with PBEsol from the Alexandria database. Energies are from meta-GGA SCAN.

As for the total energy: -27.992 eV/atom. The calculation puts the density of states at the Fermi level at 1.304 states/eV per cell. For the formation energy, the calculation gives -765.1 meV/atom.

abc: 4.1455 4.1455 3.9847
angles: 90.00 90.00 120.00
Space group P6/mmm (No. 191)
Symmetry-distinct sites (fractional):
Ho (0.0000, 0.0000, 0.0000) (multiplicity 1)
Ga (0.3333, 0.6667, 0.5000) (multiplicity 2)

What did the first record say?
Here is a crystal of HoGa3 relaxed with PBEsol from the Alexandria database. Energies are from meta-GGA SCAN.

As for the total energy: -25.116 eV/atom. The calculation puts the density of states at the Fermi level at 8.768 states/eV per cell. For the formation energy, the calculation gives -608.7 meV/atom.

abc: 6.0172 6.0172 13.9309
angles: 90.00 90.00 120.00
Space group P6_3/mmc (No. 194)
Symmetry-distinct sites (fractional):
Ho (0.0000, 0.0000, 0.2500) (multiplicity 2)
Ho (0.3333, 0.6667, 0.0919) (multiplicity 4)
Ga (0.0416, 0.5208, 0.7500) (multiplicity 6)
Ga (0.1680, 0.3360, 0.5817) (multiplicity 12)